(1)
Density functional theory data (PBE-GGA) for a relaxed structure of HoBiRuO6.

Output
Magnetization (μB per formula unit): 1.96
Uncorrected formation energy (eV per atom): -1.641
SG: P-31c, No. 163
Density (g/cm3): 7.54

Cell: 5.5223 5.5223 9.5264 Å, 90.00 90.00 120.00°
Last column: nearest neighbours and their distance in Å.
Fractional coordinates of all 18 atoms:
Ho  0.3333  0.6667  0.2500  6 O 2.24
Ho  0.6667  0.3333  0.7500  6 O 2.24
Bi  0.0000  0.0000  0.0000  6 O 2.35
Bi  0.0000  0.0000  0.5000  6 O 2.35
Ru  0.6667  0.3333  0.2500  6 O 1.96
Ru  0.3333  0.6667  0.7500  6 O 1.96
O  0.6627  0.6246  0.1344  1 Ru 1.96
O  0.9619  0.3373  0.1344  1 Ru 1.96
O  0.3373  0.9619  0.6344  1 Ru 1.96
O  0.0381  0.6627  0.8656  1 Ru 1.96
O  0.3754  0.3373  0.3656  1 Ru 1.96
O  0.9619  0.6246  0.3656  1 Ru 1.96
O  0.6246  0.9619  0.8656  1 Ru 1.96
O  0.6627  0.0381  0.3656  1 Ru 1.96
O  0.0381  0.3754  0.6344  1 Ru 1.96
O  0.3754  0.0381  0.1344  1 Ru 1.96
O  0.6246  0.6627  0.6344  1 Ru 1.96
O  0.3373  0.3754  0.8656  1 Ru 1.96

***

(2)
Density functional theory data (PBE-GGA) for a relaxed structure of Ho2BiRuO8.

Output
Magnetization (μB per formula unit): 1.01
Uncorrected formation energy (eV per atom): -1.989
SG: Cmmm, No. 65
Density (g/cm3): 7.58

Cell: 5.0114 5.0082 6.7052 Å, 90.00 90.00 91.30°
Last column: nearest neighbours and their distance in Å.
Fractional coordinates of all 12 atoms:
Ho  0.5002  0.5002  0.7541  6 O 2.18-2.30
Ho  0.4998  0.4998  0.2459  6 O 2.18-2.30
Bi  0.0000  0.0000  0.5000  6 O 2.15-2.26
Ru  0.0000  0.0000  0.0000  6 O 1.90-1.99
O  0.1823  0.8178  0.2241  1 Ru 1.99
O  0.7281  0.7281  0.0001  1 Ru 1.90
O  0.8179  0.1824  0.2241  1 Ru 1.99
O  0.8177  0.1822  0.7759  1 Ru 1.99
O  0.2719  0.2719  0.9999  1 Ru 1.90
O  0.1821  0.8176  0.7759  1 Ru 1.99
O  0.6935  0.6933  0.4999  1 Bi 2.15, 2 Ho 2.18
O  0.3065  0.3067  0.5001  1 Bi 2.15, 2 Ho 2.18

***

(3)
Density functional theory data (PBE-GGA) for a relaxed structure of HoBiSO2.

Output
Magnetization (μB per formula unit): 0.00
Uncorrected formation energy (eV per atom): -2.068
SG: P2_1/m, No. 11
Density (g/cm3): 7.85

Cell: 3.9781 6.3342 7.6393 Å, 105.69 90.00 90.00°
Last column: nearest neighbours and their distance in Å.
Fractional coordinates of all 10 atoms:
Ho  0.2500  0.6926  0.9279  4 O 2.25-2.33
Ho  0.7500  0.3074  0.0721  4 O 2.25-2.33
Bi  0.2500  0.6986  0.4103  4 O 2.24-2.32
Bi  0.7500  0.3014  0.5897  4 O 2.24-2.32
S  0.2500  0.0579  0.7962  3 Ho 2.76-3.02
S  0.7500  0.9421  0.2038  3 Ho 2.76-3.02
O  0.7500  0.5044  0.3779  3 Bi 2.32, 1 Ho 2.33
O  0.2500  0.4956  0.6221  3 Bi 2.32, 1 Ho 2.33
O  0.7500  0.5214  0.8742  1 Bi 2.24, 3 Ho 2.25-2.29
O  0.2500  0.4786  0.1258  1 Bi 2.24, 3 Ho 2.25-2.29

***

(4)
Density functional theory data (PBE-GGA) for a relaxed structure of Ho2ScBiO6.

Output
Magnetization (μB per formula unit): 0.00
Uncorrected formation energy (eV per atom): -2.662
SG: P4mm, No. 99
Density (g/cm3): 7.08

Cell: 5.5507 5.3598 5.3598 Å, 90.00 90.00 90.00°
Last column: nearest neighbours and their distance in Å.
Fractional coordinates of all 10 atoms:
Ho  0.9690  0.5000  0.0000  4 O 2.24
Ho  0.9690  0.0000  0.5000  4 O 2.24
Sc  0.5839  0.0000  0.0000  5 O 1.98-2.06
Bi  0.5466  0.5000  0.5000  5 O 2.27
O  0.7533  0.2419  0.2419  1 Sc 2.06, 2 Ho 2.24, 1 Bi 2.27
O  0.7533  0.2419  0.7581  1 Sc 2.06, 2 Ho 2.24, 1 Bi 2.27
O  0.1384  0.5000  0.5000  1 Bi 2.27
O  0.2266  0.0000  0.0000  1 Sc 1.98
O  0.7533  0.7581  0.7581  1 Sc 2.06, 2 Ho 2.24, 1 Bi 2.27
O  0.7533  0.7581  0.2419  1 Sc 2.06, 2 Ho 2.24, 1 Bi 2.27

***

(5)
Density functional theory data (PBE-GGA) for a relaxed structure of HoScBi2O6.

Output
Magnetization (μB per formula unit): 0.00
Uncorrected formation energy (eV per atom): -2.368
SG: R3, No. 146
Density (g/cm3): 8.03

Cell: 5.8949 5.8952 6.0291 Å, 60.73 60.73 60.00°
Last column: nearest neighbours and their distance in Å.
Fractional coordinates of all 10 atoms:
Ho  0.8088  0.8088  0.5736  6 O 2.21-2.34
Sc  0.3116  0.3116  0.0652  6 O 2.10-2.22
Bi  0.5242  0.5243  0.4272  6 O 2.31-2.55
Bi  0.0246  0.0246  0.9262  6 O 2.34-2.49
O  0.6033  0.1694  0.2490  1 Sc 2.10, 1 Bi 2.34, 1 Ho 2.34
O  0.1694  0.9783  0.2491  1 Sc 2.10, 1 Bi 2.34, 1 Ho 2.34
O  0.9783  0.6033  0.2490  1 Sc 2.10, 1 Bi 2.34, 1 Ho 2.34
O  0.4567  0.6636  0.7586  1 Ho 2.21, 1 Sc 2.22, 1 Bi 2.31
O  0.6636  0.1210  0.7586  1 Ho 2.21, 1 Sc 2.22, 1 Bi 2.31
O  0.1211  0.4567  0.7586  1 Ho 2.21, 1 Sc 2.22, 1 Bi 2.31

***

(6)
Density functional theory data (PBE-GGA) for a relaxed structure of Ho2ScBi2O2.

Output
Magnetization (μB per formula unit): 0.00
Uncorrected formation energy (eV per atom): -1.856
SG: I4/mmm, No. 139
Density (g/cm3): 9.59

Cell: 4.1405 4.1405 8.8335 Å, 103.55 103.55 90.00°
Last column: nearest neighbours and their distance in Å.
Fractional coordinates of all 7 atoms:
Ho  0.3950  0.3950  0.7899  4 O 2.71
Ho  0.6050  0.6050  0.2101  4 O 2.71
Sc  0.0000  0.0000  0.0000  4 O 2.07
Bi  0.1874  0.1874  0.3748  1 Sc 3.12, 5 Ho 3.23-3.46
Bi  0.8126  0.8126  0.6252  1 Sc 3.12, 5 Ho 3.23-3.46
O  0.0000  0.5000  0.0000  2 Sc 2.07
O  0.5000  0.0000  0.0000  2 Sc 2.07

***

(7)
Density functional theory data (PBE-GGA) for a relaxed structure of HoScBiO2.

Output
Magnetization (μB per formula unit): 0.00
Uncorrected formation energy (eV per atom): -2.597
SG: I4mm, No. 107
Density (g/cm3): 7.94

Cell: 3.7781 3.7781 7.1245 Å, 105.38 105.38 90.00°
Last column: nearest neighbours and their distance in Å.
Fractional coordinates of all 5 atoms:
Ho  0.1679  0.1679  0.3358  4 O 2.22
Sc  0.8255  0.8255  0.6510  4 O 2.10
Bi  0.4952  0.4952  0.9903  4 Sc 3.49, 4 Ho 3.51, 4 O 3.68, 4 Bi 3.78
O  0.7557  0.2557  0.5114  2 Sc 2.10, 2 Ho 2.22
O  0.2557  0.7557  0.5114  2 Sc 2.10, 2 Ho 2.22

***

(8)
Density functional theory data (PBE-GGA) for a relaxed structure of HoBiSeO2.

Output
Magnetization (μB per formula unit): 0.00
Uncorrected formation energy (eV per atom): -2.047
SG: P2_1/m, No. 11
Density (g/cm3): 8.23

Cell: 4.0234 6.5425 7.7107 Å, 105.53 90.00 90.00°
Last column: nearest neighbours and their distance in Å.
Fractional coordinates of all 10 atoms:
Ho  0.2500  0.6798  0.9238  4 O 2.25-2.30
Ho  0.7500  0.3202  0.0762  4 O 2.25-2.30
Bi  0.2500  0.6928  0.4105  4 O 2.29-2.34
Bi  0.7500  0.3072  0.5895  4 O 2.29-2.34
Se  0.2500  0.0547  0.7868  3 Ho 2.92-3.16, 3 Bi 3.22-3.23, 1 O 3.25
Se  0.7500  0.9453  0.2132  3 Ho 2.92-3.16, 3 Bi 3.22-3.23, 1 O 3.25
O  0.7500  0.5030  0.3756  1 Ho 2.30, 3 Bi 2.34
O  0.2500  0.4970  0.6244  1 Ho 2.30, 3 Bi 2.34
O  0.7500  0.5216  0.8773  3 Ho 2.25-2.27, 1 Bi 2.29
O  0.2500  0.4784  0.1227  3 Ho 2.25-2.27, 1 Bi 2.29

***

(9)
Density functional theory data (PBE-GGA) for a relaxed structure of HoSiBiO5.

Output
Magnetization (μB per formula unit): 0.00
Uncorrected formation energy (eV per atom): -2.517
SG: C2/c, No. 15
Density (g/cm3): 7.03

Cell: 5.7978 5.7978 7.6185 Å, 101.77 101.77 108.48°
Last column: nearest neighbours and their distance in Å.
Fractional coordinates of all 16 atoms:
Ho  0.0000  0.0000  0.5000  6 O 2.16-2.30
Ho  0.0000  0.0000  0.0000  6 O 2.16-2.30
Si  0.6804  0.3196  0.2500  4 O 1.65-1.68
Si  0.3196  0.6804  0.7500  4 O 1.65-1.68
Bi  0.3317  0.6683  0.2500  1 O 2.11
Bi  0.6683  0.3317  0.7500  1 O 2.11
O  0.1075  0.8925  0.2500  1 Bi 2.11, 2 Ho 2.16
O  0.8925  0.1075  0.7500  1 Bi 2.11, 2 Ho 2.16
O  0.9125  0.3365  0.1475  1 Si 1.68
O  0.0875  0.6635  0.8525  1 Si 1.68
O  0.6635  0.0875  0.3525  1 Si 1.68
O  0.3365  0.9125  0.6475  1 Si 1.68
O  0.7366  0.5822  0.4138  1 Si 1.65
O  0.2634  0.4178  0.5862  1 Si 1.65
O  0.4178  0.2634  0.0862  1 Si 1.65
O  0.5822  0.7366  0.9138  1 Si 1.65

***

(10)
Density functional theory data (PBE-GGA) for a relaxed structure of SmHoBi2O6.

Output
Magnetization (μB per formula unit): 0.00
Uncorrected formation energy (eV per atom): -2.343
SG: R3, No. 146
Density (g/cm3): 8.45

Cell: 6.0688 6.0695 6.1933 Å, 60.66 60.67 59.98°
Last column: nearest neighbours and their distance in Å.
Fractional coordinates of all 10 atoms:
Sm  0.8051  0.8053  0.5843  6 O 2.30-2.44
Ho  0.3089  0.3088  0.0733  6 O 2.24-2.35
Bi  0.5216  0.5219  0.4346  6 O 2.31-2.54
Bi  0.0205  0.0205  0.9382  6 O 2.32-2.51
O  0.6206  0.1823  0.2453  1 Ho 2.24, 1 Bi 2.32, 1 Sm 2.43
O  0.1824  0.9517  0.2455  1 Ho 2.24, 1 Bi 2.32, 1 Sm 2.44
O  0.9518  0.6208  0.2452  1 Ho 2.24, 1 Bi 2.32, 1 Sm 2.44
O  0.4392  0.6792  0.7496  1 Sm 2.30, 2 Bi 2.31-2.51, 1 Ho 2.35
O  0.6793  0.1319  0.7498  1 Sm 2.30, 2 Bi 2.32-2.51, 1 Ho 2.35
O  0.1322  0.4392  0.7494  1 Sm 2.30, 2 Bi 2.31-2.51, 1 Ho 2.35